# 1
DFT (PBE) results for a relaxed structure of NaAlSn.

Values from the calculation:
magnetization: 0.0 μB/cell
energy relative to the elements: 0.1726 eV/atom
total energy: -2.8488 eV per atom
ρ: 2.638 g/cm3
N(E_F): 2.3 states/eV per cell

Cell: 7.3714 7.3714 7.8150 Å, 90.00 90.00 90.00°
Last column: nearest neighbours and their distance in Å.
Atoms (fractional coordinates):
Na 0.0000 0.3553 0.0000  2 Sn 3.04
Na 0.0000 0.6447 0.5000  2 Sn 3.04
Na 0.3553 0.0000 0.7500  2 Sn 3.04
Na 0.6447 0.0000 0.2500  2 Sn 3.04
Al 0.3602 0.3602 0.3750  2 Al 2.84, 4 Sn 3.00-3.16
Al 0.3602 0.6398 0.1250  2 Al 2.84, 4 Sn 3.00-3.16
Al 0.6398 0.3602 0.6250  2 Al 2.84, 4 Sn 3.00-3.16
Al 0.6398 0.6398 0.8750  2 Al 2.84, 4 Sn 3.00-3.16
Sn 0.2813 0.5000 0.7500  4 Al 3.00-3.16, 2 Sn 3.00, 2 Na 3.04
Sn 0.5000 0.2813 0.0000  4 Al 3.00-3.16, 2 Sn 3.00, 2 Na 3.04
Sn 0.5000 0.7187 0.5000  4 Al 3.00-3.16, 2 Sn 3.00, 2 Na 3.04
Sn 0.7187 0.5000 0.2500  4 Al 3.00-3.16, 2 Sn 3.00, 2 Na 3.04


# 2
DFT (PBE) results for a relaxed structure of FeSe3.

Values from the calculation:
magnetization: 9.1 μB/cell
total energy: -4.5034 eV per atom
ρ: 5.891 g/cm3
formation energy (no corrections): 0.90 eV/f.u.
N(E_F): 16.2 states/eV per cell

Cell: 8.1227 8.1227 5.7763 Å, 90.00 90.00 120.00°
Last column: nearest neighbours and their distance in Å.
Atoms (fractional coordinates):
Fe 0.0000 0.0000 0.0000  6 Se 2.36
Fe 0.0000 0.0000 0.5000  6 Se 2.36
Fe 0.3333 0.6667 0.2500  6 Se 2.75
Fe 0.6667 0.3333 0.7500  6 Se 2.75
Se 0.0000 0.5000 0.0000  2 Fe 2.75, 6 Se 2.89-2.99
Se 0.0000 0.5000 0.5000  2 Fe 2.75, 6 Se 2.89-2.99
Se 0.1326 0.2653 0.7500  2 Fe 2.36
Se 0.1326 0.8674 0.7500  2 Fe 2.36
Se 0.2653 0.1326 0.2500  2 Fe 2.36
Se 0.5000 0.0000 0.0000  2 Fe 2.75, 6 Se 2.89-2.99
Se 0.5000 0.0000 0.5000  2 Fe 2.75, 6 Se 2.89-2.99
Se 0.5000 0.5000 0.0000  2 Fe 2.75, 6 Se 2.89-2.99
Se 0.5000 0.5000 0.5000  2 Fe 2.75, 6 Se 2.89-2.99
Se 0.7347 0.8674 0.7500  2 Fe 2.36
Se 0.8674 0.1326 0.2500  2 Fe 2.36
Se 0.8674 0.7347 0.2500  2 Fe 2.36


# 3
DFT (PBE) results for a relaxed structure of Ce3AsC.

Values from the calculation:
magnetization: 8.9 μB/cell
energy relative to the elements: -0.6590 eV/atom
total energy: -6.9941 eV per atom
ρ: 7.729 g/cm3
N(E_F): 42.7 states/eV per cell

Cell: 8.1215 3.8177 14.0599 Å, 90.00 90.00 90.00°
Last column: nearest neighbours and their distance in Å.
Atoms (fractional coordinates):
Ce 0.0268 0.2500 0.1056  3 C 2.56
Ce 0.1463 0.2500 0.5001  2 C 2.57
Ce 0.1951 0.7500 0.2855  1 C 2.48
Ce 0.3049 0.2500 0.7855  1 C 2.48
Ce 0.3537 0.7500 0.0001  2 C 2.57
Ce 0.4732 0.7500 0.6056  3 C 2.56
Ce 0.5268 0.2500 0.3944  3 C 2.56
Ce 0.6463 0.2500 0.9999  2 C 2.57
Ce 0.6951 0.7500 0.2145  1 C 2.48
Ce 0.8049 0.2500 0.7145  1 C 2.48
Ce 0.8537 0.7500 0.4999  2 C 2.57
Ce 0.9732 0.7500 0.8944  3 C 2.56
As 0.0889 0.7500 0.6745  9 Ce 3.03-3.27
As 0.4111 0.2500 0.1745  9 Ce 3.03-3.27
As 0.5889 0.7500 0.8255  9 Ce 3.03-3.27
As 0.9111 0.2500 0.3255  9 Ce 3.03-3.27
C 0.1662 0.2500 0.9425  6 Ce 2.48-2.57
C 0.3338 0.7500 0.4425  6 Ce 2.48-2.57
C 0.6662 0.2500 0.5575  6 Ce 2.48-2.57
C 0.8338 0.7500 0.0575  6 Ce 2.48-2.57